TiTcW | PBE-GGA | relaxed

## Properties
**Energy relative to the lowest polymorph listed for this composition**: 0.14 eV per formula unit
**Formation energy from the elements**: -32 kJ per mole of atoms
**Spin magnetization**: 0.000 μB/atom
**DFT total energy**: -128.79 eV/cell

Cell: 4.4226 9.4623 4.4204 Å, 90.00 90.00 90.00°
With the nearest neighbours (Å) after each atom.
Sites, in units of the cell vectors:
1 Tc 0.0000 0.2486 0.7500  4 Ti 2.68-2.69, 4 W 2.70-2.71
2 Tc 0.5000 0.2514 0.2500  4 Ti 2.68-2.69, 4 W 2.70-2.71
3 Tc 0.5000 0.7486 0.7500  4 Ti 2.68-2.69, 4 W 2.70-2.71
4 Tc 0.0000 0.7514 0.2500  4 Ti 2.68-2.69, 4 W 2.70-2.71
5 Ti 0.5000 0.4113 0.7500  4 Tc 2.68-2.69, 2 W 2.76, 2 Ti 2.77
6 Ti 0.0000 0.0887 0.2500  4 Tc 2.68-2.69, 2 W 2.76, 2 Ti 2.77
7 Ti 0.0000 0.9113 0.7500  4 Tc 2.68-2.69, 2 W 2.76, 2 Ti 2.77
8 Ti 0.5000 0.5887 0.2500  4 Tc 2.68-2.69, 2 W 2.76, 2 Ti 2.77
9 W 0.5000 0.0855 0.7500  4 Tc 2.70-2.71, 2 W 2.74, 2 Ti 2.76
10 W 0.0000 0.4145 0.2500  4 Tc 2.70-2.71, 2 W 2.74, 2 Ti 2.76
11 W 0.5000 0.9145 0.2500  4 Tc 2.70-2.71, 2 W 2.74, 2 Ti 2.76
12 W 0.0000 0.5855 0.7500  4 Tc 2.70-2.71, 2 W 2.74, 2 Ti 2.76

=====

YbCrSb3 | PBE-GGA | relaxed

## Properties
**Spin magnetization**: 0.377 μB/atom
**DFT total energy**: -101.44 eV/cell

Cell: 6.0222 6.2212 12.8669 Å, 90.00 90.00 90.00°
With the nearest neighbours (Å) after each atom.
Sites, in units of the cell vectors:
1 Yb 0.7500 0.4974 0.6899  9 Sb 3.22-3.35, 2 Cr 3.50
2 Yb 0.2500 0.5026 0.3101  9 Sb 3.22-3.35, 2 Cr 3.50
3 Yb 0.7500 0.9974 0.3101  9 Sb 3.22-3.35, 2 Cr 3.50
4 Yb 0.2500 0.0026 0.6899  9 Sb 3.22-3.35, 2 Cr 3.50
5 Sb 0.2500 0.1059 0.9355  4 Cr 2.71-2.72
6 Sb 0.7500 0.3941 0.9355  4 Cr 2.71-2.72
7 Sb 0.2500 0.4967 0.7787  2 Cr 2.70
8 Sb 0.5000 0.2500 0.4983  4 Sb 3.01-3.11, 4 Yb 3.26-3.27
9 Sb 0.0000 0.2500 0.4983  4 Sb 3.01-3.11, 4 Yb 3.26-3.27
10 Sb 0.2500 0.6059 0.0645  4 Cr 2.71-2.72
11 Sb 0.7500 0.0033 0.7787  2 Cr 2.70
12 Sb 0.0000 0.7500 0.5017  4 Sb 3.01-3.11, 4 Yb 3.26-3.27
13 Sb 0.5000 0.7500 0.5017  4 Sb 3.01-3.11, 4 Yb 3.26-3.27
14 Sb 0.2500 0.9967 0.2213  2 Cr 2.70
15 Sb 0.7500 0.5033 0.2213  2 Cr 2.70
16 Sb 0.7500 0.8941 0.0645  4 Cr 2.71-2.72
17 Cr 0.5000 0.7500 0.9028  6 Sb 2.70-2.72, 2 Cr 3.01
18 Cr 0.5000 0.2500 0.0972  6 Sb 2.70-2.72, 2 Cr 3.01
19 Cr 0.0000 0.7500 0.9028  6 Sb 2.70-2.72, 2 Cr 3.01
20 Cr 0.0000 0.2500 0.0972  6 Sb 2.70-2.72, 2 Cr 3.01

=====

Pm6Sm3Dy2Sc | PBE-GGA | relaxed

## Properties
**Formation energy from the elements**: 3 kJ per mole of atoms
**Spin magnetization**: 0.000 μB/atom
**DFT total energy**: -57.88 eV/cell

Cell: 6.2422 6.2422 11.8610 Å, 95.03 95.03 120.01°
With the nearest neighbours (Å) after each atom.
Sites, in units of the cell vectors:
1 Pm 0.9186 0.5883 0.7552  1 Sc 3.52, 2 Dy 3.54, 6 Pm 3.57-3.62, 3 Sm 3.63-3.65
2 Pm 0.0814 0.4117 0.2448  1 Sc 3.52, 2 Dy 3.54, 6 Pm 3.57-3.62, 3 Sm 3.63-3.65
3 Pm 0.5883 0.9186 0.7552  1 Sc 3.52, 2 Dy 3.54, 6 Pm 3.57-3.62, 3 Sm 3.63-3.65
4 Pm 0.2489 0.2489 0.7546  1 Sc 3.53, 2 Dy 3.55, 6 Pm 3.57-3.62, 3 Sm 3.62-3.64
5 Pm 0.7511 0.7511 0.2454  1 Sc 3.53, 2 Dy 3.55, 6 Pm 3.57-3.62, 3 Sm 3.62-3.64
6 Pm 0.4117 0.0814 0.2448  1 Sc 3.52, 2 Dy 3.54, 6 Pm 3.57-3.62, 3 Sm 3.63-3.65
7 Dy 0.6665 0.3335 0.0000  6 Pm 3.54-3.55, 3 Dy 3.60-3.61, 3 Sc 3.60-3.61
8 Dy 0.3335 0.6665 0.0000  6 Pm 3.54-3.55, 3 Dy 3.60-3.61, 3 Sc 3.60-3.61
9 Sm 0.1666 0.8334 0.5000  6 Sm 3.60, 6 Pm 3.62-3.65
10 Sm 0.8334 0.1666 0.5000  6 Sm 3.60, 6 Pm 3.62-3.65
11 Sm 0.5000 0.5000 0.5000  6 Sm 3.60, 6 Pm 3.63-3.64
12 Sc 0.0000 0.0000 0.0000  6 Pm 3.52-3.53, 6 Dy 3.60-3.61

=====

- What is the formula in the first record?
  TiTcW

=====

- Look up the DFT total energy of the first one.
  -128.79 eV/cell

=====

- Which value of DFT total energy does entry 2 give?
  -101.44 eV/cell